First-principles (PBE with a Hubbard U) data for a relaxed structure of WBr3O, as listed in the Alexandria database.

CIF file:
```
data_WBr3O
_chemical_formula_sum 'W1 Br3 O1'
_symmetry_space_group_name_H-M 'P m -3 m'
_symmetry_Int_Tables_number 221
_symmetry_space_group_name_Hall '-P 4 2 3'
_cell_length_a 4.731
_cell_length_b 4.731
_cell_length_c 4.731
_cell_angle_alpha 90.00
_cell_angle_beta 90.00
_cell_angle_gamma 90.00
loop_
_atom_site_label
_atom_site_type_symbol
_atom_site_fract_x
_atom_site_fract_y
_atom_site_fract_z
W1 W 0.000 0.000 0.000
Br1 Br 0.000 0.500 0.500
O1 O 0.500 0.500 0.500
```

**Total energy**: -2.11 eV per atom
**DOS at the Fermi energy**: 1.0806 states/eV/atom